1.
# Ba2CdInH GGA-PBE optimized geometry
data_Ba2CdInH
_symmetry_space_group_name_H-M 'P 4/m m m'
_symmetry_Int_Tables_number 123
_symmetry_space_group_name_Hall '-P 4 2'
_cell_length_a 5.660
_cell_length_b 5.660
_cell_length_c 4.711
_cell_angle_alpha 90.00
_cell_angle_beta 90.00
_cell_angle_gamma 90.00
loop_
_atom_site_label
_atom_site_type_symbol
_atom_site_fract_x
_atom_site_fract_y
_atom_site_fract_z
Ba1 Ba 0.000 0.500 0.000
Cd1 Cd 0.000 0.000 0.500
In1 In 0.500 0.500 0.500
H1 H 0.000 0.000 0.000
# Offset from the most stable computed form: 0 meV/atom
# Final energy: -2.484 eV per atom

***

2.
# KVH3 GGA-PBE optimized geometry
data_KVH3
_symmetry_space_group_name_H-M 'P m -3 m'
_symmetry_Int_Tables_number 221
_symmetry_space_group_name_Hall '-P 4 2 3'
_cell_length_a 3.888
_cell_length_b 3.888
_cell_length_c 3.888
_cell_angle_alpha 90.00
_cell_angle_beta 90.00
_cell_angle_gamma 90.00
loop_
_atom_site_label
_atom_site_type_symbol
_atom_site_fract_x
_atom_site_fract_y
_atom_site_fract_z
K1 K 0.000 0.000 0.000
V1 V 0.500 0.500 0.500
H1 H 0.000 0.500 0.500
# Offset from the most stable computed form: 0 meV/atom
# Final energy: -4.078 eV per atom

***

3.
# Ac3Si4Ir7 GGA-PBE optimized geometry
data_Ac3Si4Ir7
_symmetry_space_group_name_H-M 'C 1 2/m 1'
_symmetry_Int_Tables_number 12
_cell_length_a 15.964
_cell_length_b 4.122
_cell_length_c 10.141
_cell_angle_alpha 90.00
_cell_angle_beta 127.56
_cell_angle_gamma 90.00
loop_
_symmetry_equiv_pos_as_xyz
'x,y,z'
'-x,-y,-z'
'-x,y,-z'
'x,-y,z'
'x+1/2,y+1/2,z'
'-x+1/2,-y+1/2,-z'
'-x+1/2,y+1/2,-z'
'x+1/2,-y+1/2,z'
loop_
_atom_site_label
_atom_site_type_symbol
_atom_site_fract_x
_atom_site_fract_y
_atom_site_fract_z
Ac1 Ac 0.000 0.000 0.000
Ac2 Ac 0.182 0.500 0.683
Si1 Si 0.114 0.000 0.835
Si2 Si 0.161 0.500 0.308
Ir1 Ir 0.000 0.000 0.500
Ir2 Ir 0.002 0.500 0.282
Ir3 Ir 0.161 0.000 0.428
Ir4 Ir 0.195 0.500 0.029
# Final energy: -7.520 eV per atom

***

4.
# TbNdPd2 GGA-PBE optimized geometry
data_TbNdPd2
_symmetry_space_group_name_H-M 'F m -3 m'
_symmetry_Int_Tables_number 225
_symmetry_space_group_name_Hall '-F 4 2 3'
_cell_length_a 7.157
_cell_length_b 7.157
_cell_length_c 7.157
_cell_angle_alpha 90.00
_cell_angle_beta 90.00
_cell_angle_gamma 90.00
loop_
_atom_site_label
_atom_site_type_symbol
_atom_site_fract_x
_atom_site_fract_y
_atom_site_fract_z
Tb1 Tb 0.000 0.000 0.000
Nd1 Nd 0.000 0.000 0.500
Pd1 Pd 0.250 0.250 0.250
# Offset from the most stable computed form: 60 meV/atom
# Final energy: -5.738 eV per atom
# E_form: -0.79 eV per atom

***

5.
# MnFe2Pt2 GGA-PBE optimized geometry
data_MnFe2Pt2
_symmetry_space_group_name_H-M 'I 4/m m m'
_symmetry_Int_Tables_number 139
_symmetry_space_group_name_Hall '-I 4 2'
_cell_length_a 3.872
_cell_length_b 3.872
_cell_length_c 10.761
_cell_angle_alpha 90.00
_cell_angle_beta 90.00
_cell_angle_gamma 90.00
loop_
_atom_site_label
_atom_site_type_symbol
_atom_site_fract_x
_atom_site_fract_y
_atom_site_fract_z
Mn1 Mn 0.000 0.000 0.000
Fe1 Fe 0.000 0.000 0.398
Pt1 Pt 0.000 0.500 0.250
# Final energy: -7.353 eV per atom
# E_form: 0.28 eV per atom

***

6.
# ZnW2C2 GGA-PBE optimized geometry
data_ZnW2C2
_symmetry_space_group_name_H-M 'P 4/m b m'
_symmetry_Int_Tables_number 127
_symmetry_space_group_name_Hall '-P 4 2ab'
_cell_length_a 6.159
_cell_length_b 6.159
_cell_length_c 2.864
_cell_angle_alpha 90.00
_cell_angle_beta 90.00
_cell_angle_gamma 90.00
loop_
_atom_site_label
_atom_site_type_symbol
_atom_site_fract_x
_atom_site_fract_y
_atom_site_fract_z
Zn1 Zn 0.000 0.000 0.000
W1 W 0.150 0.350 0.500
C1 C 0.143 0.643 0.000
# Offset from the most stable computed form: 12 meV/atom
# Final energy: -8.488 eV per atom
# E_form: 0.64 eV per atom

***

7.
# Hf3PtBr GGA-PBE optimized geometry
data_Hf3PtBr
_symmetry_space_group_name_H-M 'P m -3 m'
_symmetry_Int_Tables_number 221
_symmetry_space_group_name_Hall '-P 4 2 3'
_cell_length_a 4.815
_cell_length_b 4.815
_cell_length_c 4.815
_cell_angle_alpha 90.00
_cell_angle_beta 90.00
_cell_angle_gamma 90.00
loop_
_atom_site_label
_atom_site_type_symbol
_atom_site_fract_x
_atom_site_fract_y
_atom_site_fract_z
Hf1 Hf 0.000 0.000 0.500
Pt1 Pt 0.500 0.500 0.500
Br1 Br 0.000 0.000 0.000
# Final energy: -6.918 eV per atom

***

8.
# CsSmS2O6 GGA-PBE optimized geometry
data_CsSmS2O6
_symmetry_space_group_name_H-M 'C 1 2/c 1'
_symmetry_Int_Tables_number 15
_cell_length_a 9.015
_cell_length_b 10.257
_cell_length_c 8.171
_cell_angle_alpha 90.00
_cell_angle_beta 112.98
_cell_angle_gamma 90.00
loop_
_symmetry_equiv_pos_as_xyz
'x,y,z'
'-x,-y,-z'
'-x,y,-z+1/2'
'x,-y,z+1/2'
'x+1/2,y+1/2,z'
'-x+1/2,-y+1/2,-z'
'-x+1/2,y+1/2,-z+1/2'
'x+1/2,-y+1/2,z+1/2'
loop_
_atom_site_label
_atom_site_type_symbol
_atom_site_fract_x
_atom_site_fract_y
_atom_site_fract_z
Cs1 Cs 0.000 0.151 0.250
Sm1 Sm 0.000 0.441 0.750
S1 S 0.221 0.121 0.793
O1 O 0.100 0.392 0.065
O2 O 0.184 0.267 0.761
O3 O 0.248 0.068 0.630
# Final energy: -6.365 eV per atom

***

9.
# PrRhI GGA-PBE optimized geometry
data_PrRhI
_symmetry_space_group_name_H-M 'C 1 2/m 1'
_symmetry_Int_Tables_number 12
_cell_length_a 7.595
_cell_length_b 4.389
_cell_length_c 11.996
_cell_angle_alpha 90.00
_cell_angle_beta 97.20
_cell_angle_gamma 90.00
loop_
_symmetry_equiv_pos_as_xyz
'x,y,z'
'-x,-y,-z'
'-x,y,-z'
'x,-y,z'
'x+1/2,y+1/2,z'
'-x+1/2,-y+1/2,-z'
'-x+1/2,y+1/2,-z'
'x+1/2,-y+1/2,z'
loop_
_atom_site_label
_atom_site_type_symbol
_atom_site_fract_x
_atom_site_fract_y
_atom_site_fract_z
Pr1 Pr 0.031 0.000 0.157
Rh1 Rh 0.166 0.500 0.998
I1 I 0.233 0.500 0.336
# Final energy: -5.583 eV per atom

***

10.
# SrZr2Cr GGA-PBE optimized geometry
data_SrZr2Cr
_symmetry_space_group_name_H-M 'C m m m'
_symmetry_Int_Tables_number 65
_symmetry_space_group_name_Hall '-C 2 2'
_cell_length_a 6.161
_cell_length_b 10.230
_cell_length_c 3.121
_cell_angle_alpha 90.00
_cell_angle_beta 90.00
_cell_angle_gamma 90.00
loop_
_atom_site_label
_atom_site_type_symbol
_atom_site_fract_x
_atom_site_fract_y
_atom_site_fract_z
Sr1 Sr 0.000 0.000 0.000
Zr1 Zr 0.250 0.250 0.500
Cr1 Cr 0.000 0.500 0.000
# Offset from the most stable computed form: 449 meV/atom
# Final energy: -6.314 eV per atom
# E_form: 0.79 eV per atom

***

11.
# Tb12Th3Zr5 GGA-PBE optimized geometry
data_Tb12Th3Zr5
_symmetry_space_group_name_H-M 'I a -3 d'
_symmetry_Int_Tables_number 230
_symmetry_space_group_name_Hall '-I 4bd 2c 3'
_cell_length_a 18.090
_cell_length_b 18.090
_cell_length_c 18.090
_cell_angle_alpha 90.00
_cell_angle_beta 90.00
_cell_angle_gamma 90.00
loop_
_atom_site_label
_atom_site_type_symbol
_atom_site_fract_x
_atom_site_fract_y
_atom_site_fract_z
Tb1 Tb 0.023 0.076 0.646
Th1 Th 0.000 0.250 0.125
Zr1 Zr 0.000 0.000 0.000
Zr2 Zr 0.000 0.250 0.375
# Final energy: -4.762 eV per atom
# E_form: 1.27 eV per atom

***

12.
# Nd3IrPd GGA-PBE optimized geometry
data_Nd3IrPd
_symmetry_space_group_name_H-M 'P m m n'
_symmetry_Int_Tables_number 59
_cell_length_a 4.212
_cell_length_b 7.219
_cell_length_c 9.153
_cell_angle_alpha 90.00
_cell_angle_beta 90.00
_cell_angle_gamma 90.00
loop_
_symmetry_equiv_pos_as_xyz
'x,y,z'
'-x,-y,-z'
'-x+1/2,-y+1/2,z'
'x+1/2,y+1/2,-z'
'x+1/2,-y,-z'
'-x+1/2,y,z'
'-x,y+1/2,-z'
'x,-y+1/2,z'
loop_
_atom_site_label
_atom_site_type_symbol
_atom_site_fract_x
_atom_site_fract_y
_atom_site_fract_z
Nd1 Nd 0.250 0.010 0.166
Nd2 Nd 0.250 0.250 0.561
Ir1 Ir 0.250 0.250 0.894
Pd1 Pd 0.250 0.750 0.656
# Offset from the most stable computed form: 5 meV/atom
# Final energy: -6.255 eV per atom
# E_form: -0.58 eV per atom

***

13.
# LiBeP2 GGA-PBE optimized geometry
data_LiBeP2
_symmetry_space_group_name_H-M 'C 1 m 1'
_symmetry_Int_Tables_number 8
_cell_length_a 7.128
_cell_length_b 3.336
_cell_length_c 5.477
_cell_angle_alpha 90.00
_cell_angle_beta 106.30
_cell_angle_gamma 90.00
loop_
_symmetry_equiv_pos_as_xyz
'x,y,z'
'x,-y,z'
'x+1/2,y+1/2,z'
'x+1/2,-y+1/2,z'
loop_
_atom_site_label
_atom_site_type_symbol
_atom_site_fract_x
_atom_site_fract_y
_atom_site_fract_z
Li1 Li 0.000 0.000 0.000
Be1 Be 0.167 0.000 0.490
P1 P 0.141 0.500 0.734
P2 P 0.435 0.000 0.361
# Final energy: -4.358 eV per atom
# E_form: -0.24 eV per atom

***

14.
# Sr2TaTc GGA-PBE optimized geometry
data_Sr2TaTc
_symmetry_space_group_name_H-M 'P 1 m 1'
_symmetry_Int_Tables_number 6
_cell_length_a 3.478
_cell_length_b 3.477
_cell_length_c 9.697
_cell_angle_alpha 90.00
_cell_angle_beta 90.03
_cell_angle_gamma 90.00
loop_
_symmetry_equiv_pos_as_xyz
'x,y,z'
'x,-y,z'
loop_
_atom_site_label
_atom_site_type_symbol
_atom_site_fract_x
_atom_site_fract_y
_atom_site_fract_z
Sr1 Sr 0.000 0.000 0.000
Sr2 Sr 0.498 0.500 0.387
Ta1 Ta 0.499 0.500 0.732
Tc1 Tc 0.999 0.000 0.632
# Offset from the most stable computed form: 0 meV/atom
# Final energy: -6.066 eV per atom
# E_form: 0.33 eV per atom

***

15.
# Tb3PrDy2Ho6 GGA-PBE optimized geometry
data_Tb3PrDy2Ho6
_symmetry_space_group_name_H-M 'C 1 2/m 1'
_symmetry_Int_Tables_number 12
_cell_length_a 6.153
_cell_length_b 10.647
_cell_length_c 11.758
_cell_angle_alpha 90.00
_cell_angle_beta 99.99
_cell_angle_gamma 90.00
loop_
_symmetry_equiv_pos_as_xyz
'x,y,z'
'-x,-y,-z'
'-x,y,-z'
'x,-y,z'
'x+1/2,y+1/2,z'
'-x+1/2,-y+1/2,-z'
'-x+1/2,y+1/2,-z'
'x+1/2,-y+1/2,z'
loop_
_atom_site_label
_atom_site_type_symbol
_atom_site_fract_x
_atom_site_fract_y
_atom_site_fract_z
Tb1 Tb 0.000 0.000 0.000
Tb2 Tb 0.000 0.333 0.000
Pr1 Pr 0.000 0.500 0.500
Dy1 Dy 0.000 0.167 0.500
Ho1 Ho 0.248 0.167 0.249
Ho2 Ho 0.250 0.000 0.751
# Final energy: -4.595 eV per atom
# E_form: 0.02 eV per atom

***

16.
# YTcO5 GGA-PBE optimized geometry
data_YTcO5
_symmetry_space_group_name_H-M 'C 1 2/c 1'
_symmetry_Int_Tables_number 15
_cell_length_a 8.997
_cell_length_b 6.358
_cell_length_c 7.570
_cell_angle_alpha 90.00
_cell_angle_beta 115.05
_cell_angle_gamma 90.00
loop_
_symmetry_equiv_pos_as_xyz
'x,y,z'
'-x,-y,-z'
'-x,y,-z+1/2'
'x,-y,z+1/2'
'x+1/2,y+1/2,z'
'-x+1/2,-y+1/2,-z'
'-x+1/2,y+1/2,-z+1/2'
'x+1/2,-y+1/2,z+1/2'
loop_
_atom_site_label
_atom_site_type_symbol
_atom_site_fract_x
_atom_site_fract_y
_atom_site_fract_z
Y1 Y 0.000 0.054 0.250
Tc1 Tc 0.000 0.500 0.000
O1 O 0.000 0.424 0.250
O2 O 0.015 0.209 0.961
O3 O 0.224 0.479 0.617
# Offset from the most stable computed form: 55 meV/atom
# Final energy: -7.936 eV per atom

***

17.
# TcHgCl2 GGA-PBE optimized geometry
data_TcHgCl2
_symmetry_space_group_name_H-M 'P 4/m m m'
_symmetry_Int_Tables_number 123
_symmetry_space_group_name_Hall '-P 4 2'
_cell_length_a 5.046
_cell_length_b 5.046
_cell_length_c 3.565
_cell_angle_alpha 90.00
_cell_angle_beta 90.00
_cell_angle_gamma 90.00
loop_
_atom_site_label
_atom_site_type_symbol
_atom_site_fract_x
_atom_site_fract_y
_atom_site_fract_z
Tc1 Tc 0.000 0.000 0.000
Hg1 Hg 0.500 0.500 0.000
Cl1 Cl 0.000 0.500 0.500
# Offset from the most stable computed form: 691 meV/atom
# Final energy: -3.046 eV per atom

***

18.
# HoPaRu4 GGA-PBE optimized geometry
data_HoPaRu4
_symmetry_space_group_name_H-M 'F -4 3 m'
_symmetry_Int_Tables_number 216
_symmetry_space_group_name_Hall 'F -4 2 3'
_cell_length_a 7.535
_cell_length_b 7.535
_cell_length_c 7.535
_cell_angle_alpha 90.00
_cell_angle_beta 90.00
_cell_angle_gamma 90.00
loop_
_atom_site_label
_atom_site_type_symbol
_atom_site_fract_x
_atom_site_fract_y
_atom_site_fract_z
Ho1 Ho 0.000 0.000 0.000
Pa1 Pa 0.250 0.250 0.750
Ru1 Ru 0.125 0.125 0.375
# Offset from the most stable computed form: 0 meV/atom
# Final energy: -8.830 eV per atom
# E_form: -0.30 eV per atom

***

19.
# Nd3SbIrCl GGA-PBE optimized geometry
data_Nd3SbIrCl
_symmetry_space_group_name_H-M 'P 1 21/m 1'
_symmetry_Int_Tables_number 11
_cell_length_a 7.938
_cell_length_b 4.430
_cell_length_c 10.044
_cell_angle_alpha 90.00
_cell_angle_beta 109.60
_cell_angle_gamma 90.00
loop_
_symmetry_equiv_pos_as_xyz
'x,y,z'
'-x,-y,-z'
'-x,y+1/2,-z'
'x,-y+1/2,z'
loop_
_atom_site_label
_atom_site_type_symbol
_atom_site_fract_x
_atom_site_fract_y
_atom_site_fract_z
Nd1 Nd 0.032 0.250 0.357
Nd2 Nd 0.207 0.250 0.972
Nd3 Nd 0.430 0.750 0.618
Sb1 Sb 0.230 0.750 0.214
Ir1 Ir 0.217 0.250 0.645
Cl1 Cl 0.382 0.750 0.892
# Final energy: -5.853 eV per atom

***

20.
# Y2ZnCd2 GGA-PBE optimized geometry
data_Y2ZnCd2
_symmetry_space_group_name_H-M 'I 4/m m m'
_symmetry_Int_Tables_number 139
_symmetry_space_group_name_Hall '-I 4 2'
_cell_length_a 4.612
_cell_length_b 4.612
_cell_length_c 13.601
_cell_angle_alpha 90.00
_cell_angle_beta 90.00
_cell_angle_gamma 90.00
loop_
_atom_site_label
_atom_site_type_symbol
_atom_site_fract_x
_atom_site_fract_y
_atom_site_fract_z
Y1 Y 0.000 0.500 0.250
Zn1 Zn 0.000 0.000 0.000
Cd1 Cd 0.000 0.000 0.403
# Offset from the most stable computed form: 517 meV/atom
# Final energy: -2.912 eV per atom
# E_form: 0.29 eV per atom